Record 1
Here is an optimized crystal structure of AgSe4 from Alexandria. Energies are from PBE.

Lattice parameters (Å, degrees): 5.0408 5.0408 5.0408 90.00 90.00 90.00
Positions (direct):
1 Se 0.0000 0.0000 0.0000
2 Se 0.5000 0.0000 0.5000
3 Se 0.0000 0.5000 0.5000
4 Se 0.5000 0.5000 0.0000
5 Ag 0.5000 0.5000 0.5000

Results
Raw formation energy = 840.3 meV per atom
N(E_F) = 6.91 states/eV/f.u.
Magnetization = 0.000 μB/cell



Record 2
Here is an optimized crystal structure of HfMnBe3 from Alexandria. Energies are from PBE.

Lattice parameters (Å, degrees): 3.9490 3.9490 3.9490 90.00 90.00 90.00
Positions (direct):
1 Be 0.0000 0.5000 0.0000
2 Be 0.0000 0.0000 0.5000
3 Be 0.5000 0.0000 0.0000
4 Mn 0.0000 0.0000 0.0000
5 Hf 0.5000 0.5000 0.5000

Results
N(E_F) = 2.47 states/eV/f.u.
Magnetization = 0.000 μB/cell
Formation energy = 1.27 eV/f.u.



Record 3
Here is an optimized crystal structure of CaLa2Au from Alexandria. Energies are from PBE.

Lattice parameters (Å, degrees): 5.3524 5.3524 4.2822 90.00 90.00 89.96
Positions (direct):
1 Ca 0.0000 0.5000 0.5000
2 Au 0.5000 0.0000 0.5000
3 La 0.0000 0.0000 0.0000
4 La 0.5000 0.5000 0.0000

Results
N(E_F) = 3.05 states/eV/f.u.
Magnetization = 0.000 μB/cell
Formation energy = -0.90 eV/f.u.



Record 4
Here is an optimized crystal structure of Cd4Pd5 from Alexandria. Energies are from PBE.

Lattice parameters (Å, degrees): 3.9930 6.5446 6.5446 84.57 72.22 72.22
Positions (direct):
1 Cd 0.3336 0.6666 0.6666
2 Cd 0.3336 0.9999 0.3332
3 Cd 0.6664 0.6668 0.0001
4 Cd 0.6664 0.3334 0.3334
5 Pd 0.0000 0.0025 0.9975
6 Pd 0.0000 0.3308 0.6692
7 Pd 0.0000 0.6667 0.3333
8 Pd 0.3348 0.3309 0.9975
9 Pd 0.6652 0.0025 0.6691

Results
N(E_F) = 2.63 states/eV/f.u.
Magnetization = 0.000 μB/cell
Formation energy = -2.93 eV/f.u.



Record 5
Here is an optimized crystal structure of Pm2YScTl2 from Alexandria. Energies are from PBE.

Lattice parameters (Å, degrees): 4.9827 6.9756 9.9577 90.00 90.00 90.00
Positions (direct):
1 Pm 0.5000 0.0588 0.0493
2 Pm 0.0000 0.3392 0.1881
3 Pm 0.5000 0.5588 0.9507
4 Pm 0.0000 0.8392 0.8119
5 Y 0.0000 0.9570 0.4529
6 Y 0.0000 0.4570 0.5471
7 Sc 0.5000 0.1644 0.6899
8 Sc 0.5000 0.6644 0.3101
9 Tl 0.0000 0.2953 0.8534
10 Tl 0.5000 0.2309 0.3870
11 Tl 0.0000 0.7953 0.1466
12 Tl 0.5000 0.7309 0.6130

Results
N(E_F) = 7.31 states/eV/f.u.
Magnetization = 0.000 μB/cell
Formation energy = -1.62 eV/f.u.



Record 6
Here is an optimized crystal structure of NbNiMo from Alexandria. Energies are from PBE.

Lattice parameters (Å, degrees): 5.4694 4.0641 8.3397 90.00 103.01 90.00
Positions (direct):
1 Nb 0.4057 0.0000 0.5695
2 Nb 0.4057 0.5000 0.0695
3 Nb 0.7496 0.0000 0.2495
4 Nb 0.7496 0.5000 0.7495
5 Ni 0.8891 0.0000 0.5707
6 Ni 0.8891 0.5000 0.0707
7 Ni 0.5928 0.0000 0.9196
8 Ni 0.5928 0.5000 0.4196
9 Mo 0.2398 0.0000 0.2389
10 Mo 0.2398 0.5000 0.7389
11 Mo 0.0732 0.0000 0.9083
12 Mo 0.0732 0.5000 0.4083

Results
N(E_F) = 2.42 states/eV/f.u.
Magnetization = 0.000 μB/cell
Formation energy = 0.03 eV/f.u.



Record 7
Here is an optimized crystal structure of TbHo5Th4 from Alexandria. Energies are from PBE.

Lattice parameters (Å, degrees): 8.5444 11.6813 6.7161 90.00 90.00 90.00
Positions (direct):
1 Tb 0.4592 0.0000 0.0000
2 Tb 0.5408 0.5000 0.5000
3 Ho 0.1847 0.7831 0.7599
4 Ho 0.1847 0.2169 0.7599
5 Ho 0.7949 0.5000 0.0000
6 Ho 0.1847 0.7831 0.2401
7 Ho 0.1847 0.2169 0.2401
8 Ho 0.8153 0.7169 0.2599
9 Ho 0.8153 0.2831 0.2599
10 Ho 0.2051 0.0000 0.5000
11 Ho 0.8153 0.2831 0.7401
12 Ho 0.8153 0.7169 0.7401
13 Th 0.8586 0.0000 0.7486
14 Th 0.4679 0.6459 0.0000
15 Th 0.4679 0.3541 0.0000
16 Th 0.8586 0.0000 0.2514
17 Th 0.1414 0.5000 0.2486
18 Th 0.5321 0.8541 0.5000
19 Th 0.5321 0.1459 0.5000
20 Th 0.1414 0.5000 0.7514

Results
N(E_F) = 14.26 states/eV/f.u.
Magnetization = 0.000 μB/cell
Formation energy = 3.96 eV/f.u.



Record 8
Here is an optimized crystal structure of CoOs4Rh2 from Alexandria. Energies are from PBE.

Lattice parameters (Å, degrees): 4.3346 4.3346 6.9699 71.88 71.88 90.00
Positions (direct):
1 Rh 0.6277 0.6277 0.7447
2 Rh 0.3723 0.3723 0.2553
3 Os 0.8168 0.8168 0.3664
4 Os 0.1832 0.1832 0.6336
5 Os 0.0000 0.5000 0.0000
6 Os 0.5000 0.0000 0.0000
7 Co 0.0000 0.0000 0.0000

Results
N(E_F) = 10.62 states/eV/f.u.
Magnetization = 0.004 μB/cell
Formation energy = 11.55 eV/f.u.



Record 9
Here is an optimized crystal structure of LiAc2PdO6 from Alexandria. Energies are from PBE.

Lattice parameters (Å, degrees): 5.7057 5.7399 8.0489 90.00 90.11 90.00
Last column: magnetic moment on the atom in μB.
Positions (direct):
1 Li 0.5000 0.0000 0.0000  0.00
2 Li 0.0000 0.5000 0.5000  0.00
3 Ac 0.0054 0.9601 0.2507  0.01
4 Ac 0.5054 0.5399 0.7507  0.01
5 Ac 0.9946 0.0399 0.7493  0.01
6 Ac 0.4946 0.4601 0.2493  0.01
7 Pd 0.5000 0.0000 0.5000  0.24
8 Pd 0.0000 0.5000 0.0000  0.24
9 O 0.2804 0.7071 0.0353  0.09
10 O 0.7804 0.7929 0.5353  0.09
11 O 0.7196 0.2929 0.9647  0.09
12 O 0.2196 0.2071 0.4647  0.09
13 O 0.2949 0.7185 0.4666  0.09
14 O 0.7949 0.7815 0.9666  0.09
15 O 0.7051 0.2815 0.5334  0.09
16 O 0.2051 0.2185 0.0334  0.09
17 O 0.9363 0.5112 0.2452  0.08
18 O 0.4363 0.9888 0.7452  0.08
19 O 0.0637 0.4888 0.7548  0.08
20 O 0.5637 0.0112 0.2548  0.08

Results
Raw formation energy = -2147.6 meV per atom
N(E_F) = 9.49 states/eV/f.u.
Magnetization = 1.763 μB/cell



Record 10
Here is an optimized crystal structure of Ca2Sm3Pt2 from Alexandria. Energies are from PBE.

Lattice parameters (Å, degrees): 3.9532 6.6723 8.6564 72.82 76.80 72.77
Positions (direct):
1 Ca 0.1678 0.4716 0.1927
2 Ca 0.8322 0.5284 0.8073
3 Sm 0.5000 0.0000 0.0000
4 Sm 0.3806 0.8019 0.4370
5 Sm 0.6194 0.1981 0.5630
6 Pt 0.1666 0.9106 0.7562
7 Pt 0.8334 0.0894 0.2438

Results
N(E_F) = 5.41 states/eV/f.u.
Magnetization = 0.000 μB/cell
Formation energy = -5.05 eV/f.u.



Record 11
Here is an optimized crystal structure of ZnCu2Br from Alexandria. Energies are from PBE.

Lattice parameters (Å, degrees): 3.3141 4.4605 4.4605 90.00 90.00 90.00
Positions (direct):
1 Br 0.5000 0.0000 0.5000
2 Cu 0.0000 0.0000 0.0000
3 Cu 0.0000 0.5000 0.5000
4 Zn 0.5000 0.5000 0.0000

Results
Raw formation energy = 399.4 meV per atom
N(E_F) = 1.55 states/eV/f.u.
Magnetization = 0.000 μB/cell



Record 12
Here is an optimized crystal structure of Ti2CoNi from Alexandria. Energies are from PBE.

Lattice parameters (Å, degrees): 2.9761 4.2374 4.2374 90.00 90.00 90.00
Positions (direct):
1 Ni 0.5000 0.0000 0.0000
2 Co 0.5000 0.5000 0.5000
3 Ti 0.0000 0.0000 0.5000
4 Ti 0.0000 0.5000 0.0000

Results
N(E_F) = 4.75 states/eV/f.u.
Magnetization = 0.001 μB/cell
Formation energy = -1.46 eV/f.u.



Record 13
Here is an optimized crystal structure of KAlTlCd2 from Alexandria. Energies are from PBE.

Lattice parameters (Å, degrees): 5.3810 5.3810 5.6325 90.00 90.00 90.00
Positions (direct):
1 Tl 0.0000 0.0000 0.5000
2 Al 0.0000 0.0000 0.0000
3 K 0.5000 0.5000 0.5000
4 Cd 0.0000 0.5000 0.0000
5 Cd 0.5000 0.0000 0.0000

Results
N(E_F) = 1.65 states/eV/f.u.
Magnetization = 0.000 μB/cell
Formation energy = 0.52 eV/f.u.



Record 14
Here is an optimized crystal structure of Th2NiIr from Alexandria. Energies are from PBE.

Lattice parameters (Å, degrees): 3.5600 5.0045 5.0045 90.00 90.00 90.00
Positions (direct):
1 Ni 0.5000 0.5000 0.5000
2 Ir 0.5000 0.0000 0.0000
3 Th 0.0000 0.0000 0.5000
4 Th 0.0000 0.5000 0.0000

Results
N(E_F) = 4.39 states/eV/f.u.
Magnetization = 0.000 μB/cell
Formation energy = -2.01 eV/f.u.



Record 15
Here is an optimized crystal structure of Tb2Cu3Hg from Alexandria. Energies are from PBE.

Lattice parameters (Å, degrees): 5.7216 5.7216 8.4017 105.14 105.14 103.48
Positions (direct):
1 Tb 0.2500 0.7500 0.5000
2 Tb 0.7572 0.7572 0.0000
3 Tb 0.7500 0.2500 0.5000
4 Tb 0.2428 0.2428 0.0000
5 Cu 0.3217 0.8404 0.1622
6 Cu 0.1596 0.6783 0.8378
7 Cu 0.6783 0.1596 0.8378
8 Cu 0.8404 0.3217 0.1622
9 Cu 0.1597 0.1597 0.3195
10 Cu 0.8403 0.8403 0.6805
11 Hg 0.6662 0.6662 0.3324
12 Hg 0.3338 0.3338 0.6676

Results
N(E_F) = 3.49 states/eV/f.u.
Magnetization = 0.000 μB/cell
Formation energy = -1.57 eV/f.u.



Record 16
Here is an optimized crystal structure of SrCaCu2 from Alexandria. Energies are from PBE.

Lattice parameters (Å, degrees): 5.0545 5.0545 5.0545 60.00 60.00 60.00
Positions (direct):
1 Sr 0.7500 0.7500 0.7500
2 Ca 0.5000 0.5000 0.5000
3 Cu 0.0000 0.0000 0.0000
4 Cu 0.2500 0.2500 0.2500

Results
N(E_F) = 4.87 states/eV/f.u.
Magnetization = 0.000 μB/cell
Formation energy = 1.10 eV/f.u.



Record 17
Here is an optimized crystal structure of Ce2ReMoN6 from Alexandria. Energies are from PBE.

Lattice parameters (Å, degrees): 5.4999 5.6401 7.8502 90.00 89.92 90.00
Positions (direct):
1 Ce 0.0051 0.9465 0.2507
2 Ce 0.5051 0.5535 0.7507
3 Ce 0.9949 0.0535 0.7493
4 Ce 0.4949 0.4465 0.2493
5 Re 0.5000 0.0000 0.5000
6 Re 0.0000 0.5000 0.0000
7 Mo 0.5000 0.0000 0.0000
8 Mo 0.0000 0.5000 0.5000
9 N 0.3013 0.6978 0.0406
10 N 0.8013 0.8022 0.5406
11 N 0.6987 0.3022 0.9594
12 N 0.1987 0.1978 0.4594
13 N 0.3050 0.7021 0.4592
14 N 0.8050 0.7979 0.9592
15 N 0.6950 0.2979 0.5408
16 N 0.1950 0.2021 0.0408
17 N 0.9222 0.5185 0.2486
18 N 0.4222 0.9815 0.7486
19 N 0.0778 0.4815 0.7514
20 N 0.5778 0.0185 0.2514

Results
Raw formation energy = -846.0 meV per atom
N(E_F) = 5.50 states/eV/f.u.
Magnetization = 0.000 μB/cell



Record 18
Here is an optimized crystal structure of Ca4AsW from Alexandria. Energies are from PBE.

Lattice parameters (Å, degrees): 6.2227 6.2227 6.2227 60.00 60.00 60.00
Last column: magnetic moment on the atom in μB.
Positions (direct):
1 Ca 0.8734 0.3755 0.3755  -0.02
2 Ca 0.3755 0.3755 0.8734  -0.02
3 Ca 0.3755 0.8734 0.3755  -0.02
4 Ca 0.3755 0.3755 0.3755  -0.02
5 As 0.0000 0.0000 0.0000  0.00
6 W 0.7500 0.7500 0.7500  2.27

Results
N(E_F) = 4.15 states/eV/f.u.
Magnetization = 2.987 μB/cell
Formation energy = 5.93 eV/f.u.



Record 19
Here is an optimized crystal structure of Tl2SiPt from Alexandria. Energies are from PBE.

Lattice parameters (Å, degrees): 5.9698 5.9698 5.9698 145.72 126.45 65.14
Positions (direct):
1 Pt 0.5470 0.5470 0.0000
2 Si 0.6962 0.1962 0.5000
3 Tl 0.9756 0.9756 0.0000
4 Tl 0.2812 0.7812 0.5000

Results
Raw formation energy = 51.4 meV per atom
N(E_F) = 1.90 states/eV/f.u.
Magnetization = 0.000 μB/cell



Record 20
Here is an optimized crystal structure of TbSm from Alexandria. Energies are from PBE.

Lattice parameters (Å, degrees): 3.6599 6.3262 5.7557 90.00 90.00 89.99
Positions (direct):
1 Tb 0.5006 0.1660 0.2500
2 Tb 0.4994 0.8340 0.7500
3 Sm 0.9997 0.6671 0.2500
4 Sm 0.0003 0.3329 0.7500

Results
N(E_F) = 3.54 states/eV/f.u.
Magnetization = 0.000 μB/cell
Formation energy = 0.05 eV/f.u.



Record 21
Here is an optimized crystal structure of CeSmY2Tm from Alexandria. Energies are from PBE.

Lattice parameters (Å, degrees): 7.3176 7.6778 5.8405 90.00 90.00 90.00
Last column: magnetic moment on the atom in μB.
Positions (direct):
1 Ce 0.0000 0.0000 0.0000  1.01
2 Ce 0.0000 0.0000 0.5000  1.01
3 Sm 0.1588 0.5000 0.7500  0.00
4 Sm 0.8412 0.5000 0.2500  0.00
5 Y 0.6741 0.7111 0.7500  0.04
6 Y 0.6741 0.2889 0.7500  0.04
7 Y 0.3259 0.7111 0.2500  0.04
8 Y 0.3259 0.2889 0.2500  0.04
9 Tm 0.6179 0.0000 0.2500  0.10
10 Tm 0.3821 0.0000 0.7500  0.10

Results
N(E_F) = 9.81 states/eV/f.u.
Magnetization = 3.174 μB/cell
Formation energy = 1.45 eV/f.u.



Record 22
Here is an optimized crystal structure of HfGeMoPd2 from Alexandria. Energies are from PBE.

Lattice parameters (Å, degrees): 4.8143 4.9077 4.8143 90.00 90.00 90.00
Positions (direct):
1 Mo 0.0000 0.0000 0.0000
2 Hf 0.0000 0.5000 0.0000
3 Ge 0.5000 0.5000 0.5000
4 Pd 0.0000 0.0000 0.5000
5 Pd 0.5000 0.0000 0.0000

Results
N(E_F) = 4.96 states/eV/f.u.
Magnetization = 0.000 μB/cell
Formation energy = 5.01 eV/f.u.



Record 23
Here is an optimized crystal structure of LaTc3F from Alexandria. Energies are from PBE.

Lattice parameters (Å, degrees): 4.7916 4.7916 4.7916 90.00 90.00 90.00
Last column: magnetic moment on the atom in μB.
Positions (direct):
1 F 0.5000 0.5000 0.5000  0.15
2 Tc 0.0000 0.5000 0.0000  1.29
3 Tc 0.0000 0.0000 0.5000  1.23
4 Tc 0.5000 0.0000 0.0000  1.20
5 La 0.0000 0.0000 0.0000  -0.04

Results
Raw formation energy = 2116.6 meV per atom
N(E_F) = 3.97 states/eV/f.u.
Magnetization = 4.188 μB/cell



Record 24
Here is an optimized crystal structure of CeErCuPb from Alexandria. Energies are from PBE.

Lattice parameters (Å, degrees): 5.2573 5.2573 5.2573 60.00 60.00 60.00
Last column: magnetic moment on the atom in μB.
Positions (direct):
1 Pb 0.2500 0.2500 0.2500  -0.02
2 Cu 0.7500 0.7500 0.7500  0.03
3 Ce 0.5000 0.5000 0.5000  0.99
4 Er 0.0000 0.0000 0.0000  0.30

Results
N(E_F) = 9.82 states/eV/f.u.
Magnetization = 1.770 μB/cell
Formation energy = -0.81 eV/f.u.